[1]
Tl3Sn: relaxed, GGA-PBE.

Properties
Calculated total energy = -11.0 eV/cell
Calculated formation energy = 11 kJ/mol of formula units

Cell lengths 3.5169, 7.5494, 6.0524 Å; angles 128.61, 90.00, 103.47 degrees
Fractional coordinates of all 4 atoms:
1 Tl 0.5000 0.0000 0.5000
2 Tl 0.2557 0.5114 0.7560
3 Tl 0.7443 0.4886 0.2440
4 Sn 0.0000 0.0000 0.0000

=====

[2]
Re2Os: relaxed, GGA-PBE.

Properties
Calculated total energy = -35.9 eV/cell
Calculated formation energy = 18 kJ/mol of formula units

Cell lengths 6.1799, 6.1799, 6.1799 Å; angles 154.29, 154.29, 36.68 degrees
Fractional coordinates of all 3 atoms:
1 Os 0.5000 0.5000 0.0000
2 Re 0.1644 0.1644 0.0000
3 Re 0.8356 0.8356 0.0000

=====

[3]
AsWBr2: relaxed, GGA-PBE.

Properties
Energy relative to the elements, uncorrected = 65 meV/atom
Calculated total energy = -20.7 eV/cell

Cell lengths 3.3844, 7.6661, 7.6685 Å; angles 37.06, 90.00, 90.00 degrees
Fractional coordinates of all 4 atoms:
1 Br 0.0000 0.1126 0.1131
2 Br 0.0000 0.3874 0.3869
3 As 0.5000 0.7500 0.7500
4 W 0.5000 0.2500 0.2500

=====

[4]
BaTaHg2: relaxed, GGA-PBE.

Properties
Calculated total energy = -11.7 eV/cell
Calculated formation energy = 262 kJ/mol of formula units

Cell lengths 6.1709, 6.1709, 6.1709 Å; angles 136.93, 136.93, 62.55 degrees
Fractional coordinates of all 4 atoms:
1 Hg 0.0000 0.0000 0.0000
2 Hg 0.2500 0.7500 0.5000
3 Ba 0.7500 0.2500 0.5000
4 Ta 0.5000 0.5000 0.0000

=====

[5]
ZrMo2Cl: relaxed, GGA-PBE.

Properties
Energy relative to the elements, uncorrected = 933 meV/atom
Calculated total energy = -28.3 eV/cell

Cell lengths 4.6080, 4.6080, 4.6080 Å; angles 60.00, 60.00, 60.00 degrees
Fractional coordinates of all 4 atoms:
1 Mo 0.2500 0.2500 0.2500
2 Mo 0.7500 0.7500 0.7500
3 Cl 0.0000 0.0000 0.0000
4 Zr 0.5000 0.5000 0.5000

=====

[6]
LaTa: relaxed, GGA-PBE.

Properties
Calculated total energy = -32.4 eV/cell
Calculated formation energy = 54 kJ/mol of formula units

Cell lengths 3.5463, 3.5463, 8.4513 Å; angles 90.00, 90.00, 90.00 degrees
Fractional coordinates of all 4 atoms:
1 La 0.7500 0.7500 0.8294
2 La 0.2500 0.2500 0.1706
3 Ta 0.2500 0.2500 0.5736
4 Ta 0.7500 0.7500 0.4264

=====

[7]
SrFe3: relaxed, GGA-PBE.

Properties
Calculated total energy = -51.2 eV/cell
Calculated formation energy = 144 kJ/mol of formula units

Cell lengths 4.0563, 5.9786, 6.5337 Å; angles 90.00, 90.00, 90.00 degrees
Fractional coordinates of all 8 atoms:
1 Fe 0.0000 0.1043 0.1909
2 Fe 0.5000 0.8957 0.6909
3 Fe 0.0000 0.8763 0.5000
4 Fe 0.0000 0.1043 0.8091
5 Fe 0.5000 0.8957 0.3091
6 Fe 0.5000 0.1237 0.0000
7 Sr 0.5000 0.3795 0.5000
8 Sr 0.0000 0.6205 0.0000

=====

[8]
K2Sb9PbSe15: relaxed, GGA-PBE.

Properties
Energy relative to the elements, uncorrected = -403 meV/atom
Calculated total energy = -212.3 eV/cell

Cell lengths 4.2230, 17.3774, 22.2217 Å; angles 99.40, 90.00, 90.00 degrees
Fractional coordinates of all 54 atoms:
1 Pb 0.2500 0.6727 0.2304
2 Pb 0.7500 0.3273 0.7696
3 Se 0.7500 0.0310 0.8537
4 Se 0.7500 0.5633 0.2554
5 Se 0.7500 0.0617 0.3164
6 Se 0.7500 0.6211 0.7987
7 Se 0.7500 0.3488 0.3535
8 Se 0.7500 0.1766 0.1698
9 Se 0.7500 0.5762 0.4955
10 Se 0.2500 0.1768 0.4553
11 Se 0.7500 0.3136 0.0394
12 Se 0.2500 0.4238 0.5045
13 Se 0.2500 0.1066 0.0116
14 Se 0.2500 0.9690 0.1463
15 Se 0.7500 0.3022 0.6348
16 Se 0.7500 0.0653 0.5879
17 Se 0.2500 0.6512 0.6465
18 Se 0.2500 0.6864 0.9606
19 Se 0.7500 0.8934 0.9884
20 Se 0.2500 0.9347 0.4121
21 Se 0.7500 0.7444 0.1133
22 Se 0.2500 0.1743 0.7275
23 Se 0.2500 0.9383 0.6836
24 Se 0.7500 0.4575 0.9131
25 Se 0.2500 0.2556 0.8867
26 Se 0.7500 0.8257 0.2725
27 Se 0.2500 0.4367 0.7446
28 Se 0.2500 0.5425 0.0869
29 Se 0.7500 0.8232 0.5447
30 Se 0.2500 0.3789 0.2013
31 Se 0.2500 0.8234 0.8302
32 Se 0.2500 0.6978 0.3652
33 Sb 0.2500 0.9436 0.2935
34 Sb 0.7500 0.0359 0.0902
35 Sb 0.2500 0.3881 0.9689
36 Sb 0.7500 0.0729 0.4373
37 Sb 0.2500 0.9271 0.5627
38 Sb 0.2500 0.5431 0.8443
39 Sb 0.2500 0.6709 0.5361
40 Sb 0.7500 0.0564 0.7065
41 Sb 0.2500 0.8214 0.0547
42 Sb 0.7500 0.6119 0.0311
43 Sb 0.2500 0.1964 0.6103
44 Sb 0.7500 0.4569 0.1557
45 Sb 0.7500 0.3291 0.4639
46 Sb 0.7500 0.8036 0.3897
47 Sb 0.2500 0.9641 0.9098
48 Sb 0.2500 0.2453 0.1089
49 Sb 0.7500 0.7547 0.8911
50 Sb 0.7500 0.1786 0.9453
51 K 0.2500 0.4961 0.3710
52 K 0.7500 0.7860 0.6984
53 K 0.2500 0.2140 0.3016
54 K 0.7500 0.5039 0.6290

=====

[9]
ZrScCdNi: relaxed, GGA-PBE.

Properties
Calculated total energy = -22.2 eV/cell
Calculated formation energy = -62 kJ/mol of formula units

Cell lengths 4.7757, 4.7757, 4.7757 Å; angles 60.00, 60.00, 60.00 degrees
Fractional coordinates of all 4 atoms:
1 Ni 0.7500 0.7500 0.7500
2 Sc 0.0000 0.0000 0.0000
3 Cd 0.2500 0.2500 0.2500
4 Zr 0.5000 0.5000 0.5000

=====

[10]
ScRePt2: relaxed, GGA-PBE.

Properties
Calculated total energy = -32.6 eV/cell
Calculated formation energy = -169 kJ/mol of formula units

Cell lengths 4.9207, 4.9207, 4.9207 Å; angles 132.19, 132.17, 69.94 degrees
Fractional coordinates of all 4 atoms:
1 Pt 0.9999 0.9999 0.0000
2 Pt 0.5001 0.5001 0.0000
3 Re 0.7500 0.2500 0.5000
4 Sc 0.2500 0.7500 0.5000

=====

[11]
Sc12Al3In: relaxed, GGA-PBE.

Properties
Calculated total energy = -94.1 eV/cell
Calculated formation energy = -397 kJ/mol of formula units

Cell lengths 4.4477, 4.4477, 17.7769 Å; angles 90.00, 90.00, 90.00 degrees
Fractional coordinates of all 16 atoms:
1 In 0.0000 0.0000 0.0000
2 Al 0.0000 0.0000 0.2524
3 Al 0.0000 0.0000 0.5000
4 Al 0.0000 0.0000 0.7476
5 Sc 0.5000 0.0000 0.8701
6 Sc 0.0000 0.5000 0.1299
7 Sc 0.5000 0.5000 0.0000
8 Sc 0.5000 0.5000 0.7474
9 Sc 0.0000 0.5000 0.6238
10 Sc 0.5000 0.5000 0.5000
11 Sc 0.5000 0.0000 0.6238
12 Sc 0.5000 0.0000 0.3762
13 Sc 0.5000 0.5000 0.2526
14 Sc 0.0000 0.5000 0.3762
15 Sc 0.5000 0.0000 0.1299
16 Sc 0.0000 0.5000 0.8701

=====

[12]
AlSe2Br: relaxed, GGA-PBE.

Properties
Energy relative to the elements, uncorrected = -159 meV/atom
Calculated total energy = -26.0 eV/cell

Cell lengths 6.8372, 6.8372, 6.9362 Å; angles 60.47, 60.47, 90.00 degrees
Fractional coordinates of all 8 atoms:
1 Al 0.5000 0.5000 0.0000
2 Al 0.2500 0.7500 0.5000
3 Se 0.1994 0.6250 0.2500
4 Se 0.5506 0.1250 0.2500
5 Se 0.8750 0.8006 0.7500
6 Se 0.3750 0.4494 0.7500
7 Br 0.0000 0.0000 0.0000
8 Br 0.7500 0.2500 0.5000